1.
{"formula": "P3Os", "functional": "PBEsol", "state": "optimized geometry", "lattice": [[2.8646, 0.0000, 0.0000], [-1.4323, 2.4808, 0.0000], [0.0000, 0.0000, 8.2671]], "species": ["P", "P", "P", "Os"], "fractional_positions": [[0.0000, 0.0000, 0.0000], [0.3333, 0.6667, 0.2844], [0.3333, 0.6667, 0.7156], [0.0000, 0.0000, 0.5000]], "space_group": "P-6m2", "e_form_mev_per_atom": 317, "energy_ev_per_atom": -7.08}

2.
{"formula": "POs3", "functional": "PBEsol", "state": "optimized geometry", "lattice": [[2.7922, 0.0000, 0.0000], [0.0000, 3.8901, 0.0000], [-1.2863, 0.0000, 4.9733]], "species": ["P", "Os", "Os", "Os"], "fractional_positions": [[0.0000, 0.0000, 0.0000], [0.0000, 0.0000, 0.5000], [0.3625, 0.5000, 0.2355], [0.6375, 0.5000, 0.7645]], "space_group": "P2/m", "e_form_mev_per_atom": 127, "energy_ev_per_atom": -10.48, "de_polymorph_kj_per_mol_fu": 10}

3.
{"formula": "POs3", "functional": "PBEsol", "state": "optimized geometry", "lattice": [[-1.4173, 4.3575, 2.1688], [1.4173, -4.3575, 2.1688], [1.4173, 4.3575, -2.1688]], "species": ["P", "Os", "Os", "Os"], "fractional_positions": [[0.0000, 0.0000, 0.0000], [0.1637, 0.4495, 0.7142], [0.4570, 0.9570, 0.5000], [0.7353, 0.4495, 0.2858]], "space_group": "Imm2", "e_form_mev_per_atom": 101, "energy_ev_per_atom": -10.51, "de_polymorph_kj_per_mol_fu": 0}

4.
{"formula": "POsPb2", "functional": "PBEsol", "state": "optimized geometry", "lattice": [[1.9672, 1.1358, 6.9487], [-1.9672, 1.1358, 6.9487], [0.0000, -2.2715, 6.9487]], "species": ["P", "Os", "Pb", "Pb"], "fractional_positions": [[0.0000, 0.0000, 0.0000], [0.6658, 0.6658, 0.6658], [0.2352, 0.2352, 0.2352], [0.4305, 0.4305, 0.4305]], "space_group": "R3m", "e_form_mev_per_atom": 4, "energy_ev_per_atom": -6.50}

no.,calculated volume (Å³/f.u.)
1,58.8
2,54.0
3,53.6
4,93.2